Compound: SrLi2SiIr
Source: the Alexandria database
Functional: GGA-PBE
Structure: relaxed

Results
* volume: 21.4 Å³ per atom
* raw formation energy: -334 meV per atom
* E_tot: -4.293 eV per atom

Lattice parameters (Å, degrees): 4.8259 4.5857 4.8259 90.00 90.00 90.00
Sites, in units of the cell vectors:
Sr 0.5000 0.5000 0.5000
Si 0.0000 0.5000 0.0000
Ir 0.0000 0.0000 0.0000
Li 0.0000 0.0000 0.5000
Li 0.5000 0.0000 0.0000

Compound: BaLaAg2
Source: the Alexandria database
Functional: GGA-PBE
Structure: relaxed

Results
* energy of formation from the pure elements: -6.6 kJ/mol of atoms
* volume: 30.2 Å³ per atom
* E_tot: -3.206 eV per atom

Lattice parameters (Å, degrees): 6.7673 6.7673 6.7673 146.85 134.12 57.76
Sites, in units of the cell vectors:
Ba 0.5241 0.5241 0.0000
Ag 0.9675 0.9675 0.0000
Ag 0.7847 0.2847 0.5000
La 0.2238 0.7238 0.5000

Compound: CoOsPt4
Source: the Alexandria database
Functional: GGA-PBE
Structure: relaxed

Results
* energy of formation from the pure elements: 60.7 kJ/mol of atoms
* volume: 16.3 Å³ per atom
* E_tot: -6.454 eV per atom

Lattice parameters (Å, degrees): 5.1761 5.1761 5.1761 60.00 60.00 60.00
Site moments in Bohr magnetons follow the coordinates.
Sites, in units of the cell vectors:
Co 0.7500 0.7500 0.7500  2.09
Os 0.0000 0.0000 0.0000  1.97
Pt 0.8749 0.3750 0.3750  0.16
Pt 0.3750 0.3750 0.8749  0.16
Pt 0.3750 0.8749 0.3750  0.16
Pt 0.3750 0.3750 0.3750  0.16

Q: What is the volume in the first record?
A: 21.4 Å³ per atom

Q: Among the records above, which one has the highest E_tot?
A: BaLaAg2

What did the first record say?
Compound: SrLi2SiIr
Source: the Alexandria database
Functional: GGA-PBE
Structure: relaxed

Results
* volume: 21.4 Å³ per atom
* raw formation energy: -334 meV per atom
* E_tot: -4.293 eV per atom

Lattice parameters (Å, degrees): 4.8259 4.5857 4.8259 90.00 90.00 90.00
Sites, in units of the cell vectors:
Sr 0.5000 0.5000 0.5000
Si 0.0000 0.5000 0.0000
Ir 0.0000 0.0000 0.0000
Li 0.0000 0.0000 0.5000
Li 0.5000 0.0000 0.0000